No. 1
# PaTcSbMo | the Alexandria database | PBE | relaxed
# Energy relative to the elements, uncorrected: -0.061 eV per atom
# Calculated total energy: -140.2 eV for the cell shown
data_PaTcSbMo
_space_group_name_H-M_alt 'F -4 3 m'
_space_group_IT_number 216
_space_group_name_Hall 'F -4 2 3'
_cell_length_a 6.7430
_cell_length_b 6.7430
_cell_length_c 6.7430
_cell_angle_alpha 90.00
_cell_angle_beta 90.00
_cell_angle_gamma 90.00
loop_
_atom_site_label
_atom_site_fract_x
_atom_site_fract_y
_atom_site_fract_z
Pa1 0.0000 0.0000 0.0000
Tc1 0.2500 0.2500 0.7500
Sb1 0.0000 0.0000 0.5000
Mo1 0.2500 0.2500 0.2500

No. 2
# Pm6HN5 | the Alexandria database | PBE | relaxed
# Calculated total energy: -178.5 eV for the cell shown
data_Pm6HN5
_space_group_name_H-M_alt 'C 1 2/m 1'
_space_group_IT_number 12
_space_group_name_Hall '-C 2y'
_cell_length_a 6.2731
_cell_length_b 10.8486
_cell_length_c 6.2659
_cell_angle_alpha 90.00
_cell_angle_beta 109.69
_cell_angle_gamma 90.00
loop_
_atom_site_label
_atom_site_fract_x
_atom_site_fract_y
_atom_site_fract_z
Pm1 0.2362 0.0000 0.2639
Pm2 0.2398 0.1753 0.7452
H1 0.0000 0.5000 0.0000
N1 0.0000 0.0000 0.5000
N2 0.0000 0.1665 0.0000
N3 0.0000 0.3302 0.5000

No. 3
# ZrSc3In3Se8 | the Alexandria database | PBE | relaxed
# Energy relative to the elements, uncorrected: -1.228 eV per atom
# Calculated total energy: -246.1 eV for the cell shown
data_ZrSc3In3Se8
_space_group_name_H-M_alt 'R -3 m'
_space_group_IT_number 166
_space_group_name_Hall '-R 3 2"'
_cell_length_a 7.7840
_cell_length_b 7.7840
_cell_length_c 23.1137
_cell_angle_alpha 90.00
_cell_angle_beta 90.00
_cell_angle_gamma 120.00
loop_
_atom_site_label
_atom_site_fract_x
_atom_site_fract_y
_atom_site_fract_z
Zr1 0.0000 0.0000 0.0000
Sc1 0.0000 0.5000 0.0000
In1 0.0000 0.5000 0.5000
Se1 0.0000 0.0000 0.2670
Se2 0.0008 0.5004 0.7340

No. 4
# ReSiIr2 | the Alexandria database | PBE | relaxed
# Energy relative to the elements, uncorrected: -0.202 eV per atom
# Calculated total energy: -36.4 eV for the cell shown
data_ReSiIr2
_space_group_name_H-M_alt 'P 1 2/m 1'
_space_group_IT_number 10
_space_group_name_Hall '-P 2y'
_cell_length_a 2.7885
_cell_length_b 4.0247
_cell_length_c 5.2185
_cell_angle_alpha 90.00
_cell_angle_beta 104.04
_cell_angle_gamma 90.00
loop_
_atom_site_label
_atom_site_fract_x
_atom_site_fract_y
_atom_site_fract_z
Re1 0.0000 0.0000 0.0000
Si1 0.0000 0.0000 0.5000
Ir1 0.3717 0.5000 0.7417

Among the records above, which one has the highest calculated total energy?
ReSiIr2